Record 1
TlP2Se | PBE | optimized geometry

Cell lengths 4.246, 3.352, 7.420 Å; angles 90.00, 100.70, 90.00 degrees
Space group Pm (No. 6)
Inequivalent atoms, fractional coordinates:
Tl (0.000, 0.000, 0.000) [1 per cell]
P (0.400, 0.000, 0.636) [1 per cell]
P (0.670, 0.500, 0.545) [1 per cell]
Se (0.570, 0.500, 0.229) [1 per cell]

Computed properties:
- formation energy (no corrections) (eV/atom) = 0.08
- M_tot (Bohr magnetons per cell) = 0.000
- distance to the lowest polymorph of the same formula (meV/atom) = 15.8
- crystal system = monoclinic
- electronic total energy (eV per atom) = -4.09

---

Record 2
MgCd5Ag5 | PBE | optimized geometry

Cell lengths 5.3646, 5.3646, 9.9623 Å; angles 90.00, 90.00, 120.00 degrees
Space group P-6m2 (No. 187)
Inequivalent atoms, fractional coordinates:
Mg (0.0000, 0.0000, 0.0000) [1 per cell]
Cd (0.0000, 0.0000, 0.3315) [2 per cell]
Cd (0.3333, 0.6667, 0.2176) [2 per cell]
Cd (0.6667, 0.3333, 0.0000) [1 per cell]
Ag (0.0029, 0.5015, 0.5000) [3 per cell]
Ag (0.6667, 0.3333, 0.2633) [2 per cell]

Computed properties:
- M_tot (Bohr magnetons per cell) = 0.000
- crystal system = hexagonal
- electronic total energy (eV per atom) = -1.74
- formation enthalpy at 0 K (eV/atom) = 0.121